## Tb5Zn2Se2 (GGA-PBE)

Data for crystalline Tb5Zn2Se2 at its relaxed geometry.

The calculated density comes out at 8.16 g/cm³. As for the formation energy (no corrections): -0.88 eV/atom.

Unit cell a=15.128 b=7.660 c=7.612 alpha=90.00 beta=90.00 gamma=90.00
Space group Cmce (No. 64)
Unique sites:
Tb 0.000 0.000 0.000 [4 per cell]
Tb 0.140 0.169 0.339 [16 per cell]
Zn 0.000 0.125 0.621 [8 per cell]
Se 0.197 0.000 0.000 [8 per cell]